one) Here is Ce2TiGa after structural relaxation from the Alexandria database. Energies are from PBE.

Calculated values
Calculated density (Mg/m³): 7.7
Fermi-level density of states (states/eV/f.u.): 9.71
V (A^3/atom): 21.4
SG: No. 123

a = 4.734 Å, b = 4.254 Å, c = 4.254 Å
α = 90.00°, β = 90.00°, γ = 90.00°
Fractional positions:
1 Ce 0.000 0.000 0.500
2 Ce 0.000 0.500 0.000
3 Ga 0.500 0.500 0.500
4 Ti 0.500 0.000 0.000


two) Here is Ce2TiGa after structural relaxation from the Alexandria database. Energies are from PBE.

Calculated values
Calculated density (Mg/m³): 7.7
Fermi-level density of states (states/eV/f.u.): 7.16
V (A^3/atom): 21.5
SG: No. 166

a = 3.023 Å, b = 3.023 Å, c = 11.011 Å
α = 82.11°, β = 82.11°, γ = 60.00°
Fractional positions:
1 Ce 0.915 0.915 0.254
2 Ce 0.085 0.085 0.746
3 Ti 0.000 0.000 0.000
4 Ga 0.500 0.500 0.500


Of them, one) has the highest stability.


one) Here is Ce2TiGa after structural relaxation from the Alexandria database. Energies are from PBE.

Calculated values
Calculated density (Mg/m³): 6.9
Fermi-level density of states (states/eV/f.u.): 9.45
V (A^3/atom): 23.9
SG: No. 123

a = 3.852 Å, b = 3.852 Å, c = 6.441 Å
α = 90.00°, β = 90.00°, γ = 90.00°
Fractional positions:
1 Ga 0.500 0.500 0.000
2 Ti 0.500 0.500 0.500
3 Ce 0.000 0.000 0.770
4 Ce 0.000 0.000 0.230


two) Here is Ce2TiGa after structural relaxation from the Alexandria database. Energies are from PBE.

Calculated values
Calculated density (Mg/m³): 6.9
Fermi-level density of states (states/eV/f.u.): 8.67
V (A^3/atom): 23.9
SG: No. 225

a = 5.134 Å, b = 5.134 Å, c = 5.134 Å
α = 60.00°, β = 60.00°, γ = 60.00°
Fractional positions:
1 Ti 0.500 0.500 0.500
2 Ga 0.000 0.000 0.000
3 Ce 0.750 0.750 0.750
4 Ce 0.250 0.250 0.250


Of them, one) has the highest stability.


one) Here is CeTiGa2 after structural relaxation from the Alexandria database. Energies are from PBE.

Calculated values
Calculated density (Mg/m³): 7.0
Fermi-level density of states (states/eV/f.u.): 6.15
V (A^3/atom): 19.3
SG: No. 166

a = 3.034 Å, b = 3.034 Å, c = 9.839 Å
α = 81.13°, β = 81.13°, γ = 60.00°
Fractional positions:
1 Ga 0.742 0.742 0.775
2 Ga 0.258 0.258 0.225
3 Ti 0.000 0.000 0.000
4 Ce 0.500 0.500 0.500


two) Here is CeTiGa2 after structural relaxation from the Alexandria database. Energies are from PBE.

Calculated values
Calculated density (Mg/m³): 7.3
Fermi-level density of states (states/eV/f.u.): 2.38
V (A^3/atom): 18.7
SG: No. 123

a = 3.030 Å, b = 3.030 Å, c = 8.144 Å
α = 90.00°, β = 90.00°, γ = 90.00°
Fractional positions:
1 Ga 0.000 0.000 0.218
2 Ga 0.000 0.000 0.782
3 Ti 0.500 0.500 0.000
4 Ce 0.500 0.500 0.500


Of them, two) has the highest stability.